## A
Material: Ba4CdPd
Method: DFT, PBE-GGA
State: relaxed

Calculated density: 4.47 g/cm³
Crystal system: monoclinic
Volume: 570.28 Å³ per cell
Symmetry: C2/c

Cell lengths 9.8522, 9.8522, 8.4123 Å; angles 106.97, 106.97, 47.47 degrees
Last column: nearest neighbours and their distance in Å.
Sites, in units of the cell vectors:
Ba  0.0280  0.1731  0.4839  1 Pd 3.00
Ba  0.1731  0.0280  0.9839  1 Pd 3.00
Ba  0.2738  0.3946  0.8565  2 Pd 3.26-3.32
Ba  0.3946  0.2738  0.3565  2 Pd 3.26-3.32
Ba  0.6054  0.7262  0.6435  2 Pd 3.26-3.32
Ba  0.7262  0.6054  0.1435  2 Pd 3.26-3.32
Ba  0.8269  0.9720  0.0161  1 Pd 3.00
Ba  0.9720  0.8269  0.5161  1 Pd 3.00
Cd  0.3053  0.6947  0.2500  8 Ba 3.72-3.94
Cd  0.6947  0.3053  0.7500  8 Ba 3.72-3.94
Pd  0.0000  0.5000  0.5000  6 Ba 3.00-3.32
Pd  0.5000  0.0000  0.0000  6 Ba 3.00-3.32

## B
Material: Ba4CdPd
Method: DFT, PBE-GGA
State: relaxed

Calculated density: 4.40 g/cm³
Crystal system: monoclinic
Volume: 580.32 Å³ per cell
Symmetry: C2/c

Cell lengths 10.0337, 10.0337, 7.9980 Å; angles 107.70, 107.70, 117.32 degrees
Last column: nearest neighbours and their distance in Å.
Sites, in units of the cell vectors:
Ba  0.0654  0.6539  0.8657  1 Pd 3.17
Ba  0.2111  0.2883  0.7306  2 Pd 3.18-3.27
Ba  0.2883  0.2111  0.2306  2 Pd 3.18-3.27
Ba  0.3461  0.9346  0.6343  1 Pd 3.17
Ba  0.6539  0.0654  0.3657  1 Pd 3.17
Ba  0.7117  0.7889  0.7694  2 Pd 3.18-3.27
Ba  0.7889  0.7117  0.2694  2 Pd 3.18-3.27
Ba  0.9346  0.3461  0.1343  1 Pd 3.17
Cd  0.3722  0.6278  0.2500  8 Ba 3.56-3.81
Cd  0.6278  0.3722  0.7500  8 Ba 3.56-3.81
Pd  0.0693  0.9307  0.7500  6 Ba 3.17-3.27
Pd  0.9307  0.0693  0.2500  6 Ba 3.17-3.27

Relative energies, unit meV per atom: A 28; B 0